{"formula": "Li4YBr", "functional": "meta-GGA SCAN", "state": "PBEsol geometry", "cell": [[0.0000, 4.0704, 4.0704], [4.0704, 0.0000, 4.0704], [4.0704, 4.0704, 0.0000]], "species": ["Li", "Li", "Li", "Li", "Y", "Br"], "frac_coords": [[0.1252, 0.1252, 0.1252], [0.1252, 0.1252, 0.6244], [0.1252, 0.6244, 0.1252], [0.6244, 0.1252, 0.1252], [0.5000, 0.5000, 0.5000], [0.7500, 0.7500, 0.7500]], "e_form_raw_ev_per_fu": 0.22, "volume_a3_per_atom": 22.479, "spacegroup": "F-43m (216)"}

{"formula": "Cs3SbH2S4O", "functional": "meta-GGA SCAN", "state": "PBEsol geometry", "cell": [[9.7022, 0.0000, 0.0000], [0.0000, 9.8716, 0.0000], [-9.4972, 0.0000, 12.8332]], "species": ["Cs", "Cs", "Cs", "Cs", "Cs", "Cs", "Cs", "Cs", "Cs", "Cs", "Cs", "Cs", "Sb", "Sb", "Sb", "Sb", "H", "H", "H", "H", "H", "H", "H", "H", "S", "S", "S", "S", "S", "S", "S", "S", "S", "S", "S", "S", "S", "S", "S", "S", "O", "O", "O", "O"], "frac_coords": [[0.0764, 0.0835, 0.4237], [0.0764, 0.4165, 0.9237], [0.2114, 0.5858, 0.4534], [0.2114, 0.9142, 0.9534], [0.3943, 0.6356, 0.7928], [0.3943, 0.8644, 0.2928], [0.6057, 0.1356, 0.7072], [0.6057, 0.3644, 0.2072], [0.7886, 0.0858, 0.0466], [0.7886, 0.4142, 0.5466], [0.9236, 0.5835, 0.0763], [0.9236, 0.9165, 0.5763], [0.2599, 0.2086, 0.7809], [0.2599, 0.2914, 0.2809], [0.7401, 0.7086, 0.7191], [0.7401, 0.7914, 0.2191], [0.3173, 0.5896, 0.1671], [0.3173, 0.9104, 0.6671], [0.3689, 0.6465, 0.0952], [0.3689, 0.8535, 0.5952], [0.6311, 0.1465, 0.4048], [0.6311, 0.3535, 0.9048], [0.6827, 0.0896, 0.3329], [0.6827, 0.4104, 0.8329], [0.0048, 0.6691, 0.7487], [0.0048, 0.8309, 0.2487], [0.2206, 0.1840, 0.1376], [0.2206, 0.3160, 0.6376], [0.3940, 0.5031, 0.3105], [0.3940, 0.9969, 0.8105], [0.4386, 0.1589, 0.4320], [0.4386, 0.3411, 0.9320], [0.5614, 0.6589, 0.0680], [0.5614, 0.8411, 0.5680], [0.6060, 0.0031, 0.1895], [0.6060, 0.4969, 0.6895], [0.7794, 0.6840, 0.3624], [0.7794, 0.8160, 0.8624], [0.9952, 0.1691, 0.7513], [0.9952, 0.3309, 0.2513], [0.2709, 0.6405, 0.1006], [0.2709, 0.8595, 0.6006], [0.7291, 0.1405, 0.3994], [0.7291, 0.3595, 0.8994]], "volume_a3_per_atom": 27.935, "dft_energy_ev_per_atom": -19.47, "spacegroup": "P2_1/c (14)"}

{"formula": "CoTc2", "functional": "meta-GGA SCAN", "state": "PBEsol geometry", "cell": [[1.3127, -6.8672, 0.0000], [1.3127, 6.8672, 0.0000], [0.0000, 0.0000, 4.2031]], "species": ["Co", "Co", "Tc", "Tc", "Tc", "Tc"], "frac_coords": [[0.1106, 0.8894, 0.7500], [0.8894, 0.1106, 0.2500], [0.2224, 0.7776, 0.2500], [0.4472, 0.5528, 0.7500], [0.5528, 0.4472, 0.2500], [0.7776, 0.2224, 0.7500]], "volume_a3_per_atom": 12.630, "de_polymorph_ev_per_atom": 0.020, "ef_mev_per_atom": 70.0, "spacegroup": "Cmcm (63)"}

{"formula": "CoPt2Se", "functional": "meta-GGA SCAN", "state": "PBEsol geometry", "cell": [[2.8150, 0.0000, 0.0000], [0.0000, 2.8150, 0.0000], [0.0000, 0.0000, 7.1760]], "species": ["Co", "Pt", "Pt", "Se"], "frac_coords": [[0.0000, 0.0000, 0.0000], [0.0000, 0.0000, 0.5174], [0.5000, 0.5000, 0.2456], [0.5000, 0.5000, 0.8128]], "e_form_raw_ev_per_fu": 1.02, "volume_a3_per_atom": 14.216, "spacegroup": "P4mm (99)"}

{"formula": "Ag2IrBr", "functional": "meta-GGA SCAN", "state": "PBEsol geometry", "cell": [[2.8354, 0.0000, 0.0000], [0.0000, 2.8354, 0.0000], [0.0000, 0.0000, 9.0022]], "species": ["Ag", "Ag", "Ir", "Br"], "frac_coords": [[0.0000, 0.0000, 0.2186], [0.0000, 0.0000, 0.7814], [0.5000, 0.5000, 0.0000], [0.5000, 0.5000, 0.5000]], "e_form_raw_ev_per_fu": 2.29, "volume_a3_per_atom": 18.093, "de_polymorph_ev_per_atom": 0.000, "spacegroup": "P4/mmm (123)"}

{"formula": "LiTc4As", "functional": "meta-GGA SCAN", "state": "PBEsol geometry", "cell": [[0.0000, 3.5781, 3.5781], [3.5781, 0.0000, 3.5781], [3.5781, 3.5781, 0.0000]], "species": ["Li", "Tc", "Tc", "Tc", "Tc", "As"], "frac_coords": [[0.0000, 0.0000, 0.0000], [0.3753, 0.3753, 0.3753], [0.3753, 0.3753, 0.8740], [0.3753, 0.8740, 0.3753], [0.8740, 0.3753, 0.3753], [0.7500, 0.7500, 0.7500]], "volume_a3_per_atom": 15.271, "ef_mev_per_atom": 475.2, "spacegroup": "F-43m (216)"}

{"formula": "Mg2CrGaPt", "functional": "meta-GGA SCAN", "state": "PBEsol geometry", "cell": [[4.8359, 0.0000, 0.0000], [0.0000, 4.8359, 0.0000], [0.0000, 0.0000, 4.6002]], "species": ["Mg", "Mg", "Cr", "Ga", "Pt"], "frac_coords": [[0.0000, 0.5000, 0.0000], [0.5000, 0.0000, 0.0000], [0.0000, 0.0000, 0.5000], [0.5000, 0.5000, 0.0000], [0.5000, 0.5000, 0.5000]], "volume_a3_per_atom": 21.516, "ef_mev_per_atom": 283.3, "spacegroup": "P4/mmm (123)"}

{"formula": "Sb2AsOsSe", "functional": "meta-GGA SCAN", "state": "PBEsol geometry", "cell": [[5.1915, 0.0000, 0.0000], [0.0000, 5.1915, 0.0000], [0.0000, 0.0000, 4.6645]], "species": ["Sb", "Sb", "As", "Os", "Se"], "frac_coords": [[0.0000, 0.5000, 0.0000], [0.5000, 0.0000, 0.0000], [0.0000, 0.0000, 0.0000], [0.5000, 0.5000, 0.5000], [0.0000, 0.0000, 0.5000]], "e_form_raw_ev_per_fu": 8.01, "volume_a3_per_atom": 25.143, "spacegroup": "P4/mmm (123)"}